Hf2ZrNbC: optimized geometry, PBE-GGA.

Values from the calculation:
polymorph energy (0 for the lowest one): 187.99 kJ/mol of atoms
space group: P4/mmm, No. 123
M_tot: 0.00 Bohr magnetons per cell
formation energy: 8.569 eV per formula unit

Cell and atoms, written as POSCAR:
```
Hf2ZrNbC
1.0
-3.0111 -3.9683 1.5401
3.3211 -2.2156 0.7844
0.0736 1.8377 4.8789
Nb Hf C Zr
1 2 1 1
Direct
0.5000 0.5000 0.5000
0.0000 0.0000 0.5000
0.5000 0.0000 0.0000
0.0000 0.5000 0.0000
0.0000 0.0000 0.0000
```

KNaAgO2: optimized geometry, PBE-GGA.

Values from the calculation:
polymorph energy (0 for the lowest one): 79.06 kJ/mol of atoms
space group: P4/mmm, No. 123
M_tot: 1.06 Bohr magnetons per cell
E_form (uncorrected): 10 kJ/mol of atoms

Cell and atoms, written as POSCAR:
```
KNaAgO2
1.0
-2.8949 -3.1281 1.3132
3.4963 -2.5224 1.6990
-0.4321 2.0522 3.9360
Na K O Ag
1 1 2 1
Direct
0.0000 0.0000 0.0000
0.0000 0.5000 0.0000
0.0000 0.0000 0.5000
0.5000 0.0000 0.0000
0.5000 0.5000 0.5000
```

HfTi2PN: optimized geometry, PBE-GGA.

Values from the calculation:
space group: P4/mmm, No. 123
M_tot: 0.00 Bohr magnetons per cell
E_form (uncorrected): -86 kJ/mol of atoms

Cell and atoms, written as POSCAR:
```
HfTi2PN
1.0
-0.7563 -3.9059 0.2997
4.2658 -0.7278 1.2802
-1.0597 0.4979 3.8141
P N Hf Ti
1 1 1 2
Direct
0.5000 0.5000 0.5000
0.0000 0.0000 0.0000
0.0000 0.5000 0.0000
0.0000 0.0000 0.5000
0.5000 0.0000 0.0000
```

RbSbIrCl2: optimized geometry, PBE-GGA.

Values from the calculation:
space group: P4/mmm, No. 123
M_tot: 3.72 Bohr magnetons per cell
E_form (uncorrected): 37 kJ/mol of atoms

Cell and atoms, written as POSCAR:
```
RbSbIrCl2
1.0
4.8280 0.0000 0.0000
0.0000 7.1039 0.0000
0.0000 0.0000 4.8280
Sb Ir Rb Cl
1 1 1 2
Direct
0.5000 0.5000 0.5000
0.0000 0.0000 0.0000
0.0000 0.5000 0.0000
0.0000 0.0000 0.5000
0.5000 0.0000 0.0000
```

CdNi2Se: optimized geometry, PBE-GGA.

Values from the calculation:
polymorph energy (0 for the lowest one): 6.28 kJ/mol of atoms
space group: Cm, No. 8
M_tot: 0.00 Bohr magnetons per cell
E_form (uncorrected): 3 kJ/mol of atoms

Cell and atoms, written as POSCAR:
```
CdNi2Se
1.0
4.3853 -0.0148 -0.0138
3.3089 2.8779 -0.0138
0.8237 0.3065 5.2620
Cd Ni Se
1 2 1
Direct
0.2607 0.2607 0.2026
0.0140 0.0140 0.9355
0.7506 0.7506 0.7430
0.4746 0.4746 0.6189
```

MnMo2Cl: optimized geometry, PBE-GGA.

Values from the calculation:
polymorph energy (0 for the lowest one): 55.25 kJ/mol of atoms
space group: Fm-3m, No. 225
M_tot: 1.85 Bohr magnetons per cell
E_form (uncorrected): 72 kJ/mol of atoms

Cell and atoms, written as POSCAR:
```
MnMo2Cl
1.0
0.0000 3.0693 3.0693
3.0693 0.0000 3.0693
3.0693 3.0693 0.0000
Mo Mn Cl
2 1 1
Direct
0.2500 0.2500 0.2500
0.7500 0.7500 0.7500
0.5000 0.5000 0.5000
0.0000 0.0000 0.0000
```

Repeat the sixth record exactly.
MnMo2Cl: optimized geometry, PBE-GGA.

Values from the calculation:
polymorph energy (0 for the lowest one): 55.25 kJ/mol of atoms
space group: Fm-3m, No. 225
M_tot: 1.85 Bohr magnetons per cell
E_form (uncorrected): 72 kJ/mol of atoms

Cell and atoms, written as POSCAR:
```
MnMo2Cl
1.0
0.0000 3.0693 3.0693
3.0693 0.0000 3.0693
3.0693 3.0693 0.0000
Mo Mn Cl
2 1 1
Direct
0.2500 0.2500 0.2500
0.7500 0.7500 0.7500
0.5000 0.5000 0.5000
0.0000 0.0000 0.0000
```